Ca4AcGa5 after structural relaxation, computed with PBE.

Geometry as extended XYZ:
```
10
Lattice="3.7539 0.0000 0.0000 0.0000 3.7539 0.0000 0.0000 0.0000 18.3734" Properties=species:S:1:pos:R:3 pbc="T T T"
Ca 0.0000 0.0000 1.7789
Ca 0.0000 0.0000 5.3295
Ca 0.0000 0.0000 13.0440
Ca 0.0000 0.0000 16.5945
Ac 0.0000 0.0000 9.1867
Ga 1.8770 1.8770 0.0000
Ga 1.8770 1.8770 3.5573
Ga 1.8770 1.8770 7.0961
Ga 1.8770 1.8770 11.2773
Ga 1.8770 1.8770 14.8162
```

Calculated values
Fermi-level density of states: 6.17 states/eV per cell
calculated density: 4.72 g/cm3
formation energy from the elements: -436 meV/atom
space-group type: No. 123

***

CaAcGaGe after structural relaxation, computed with PBE.

Geometry as extended XYZ:
```
8
Lattice="4.2350 0.0000 0.0000 0.0000 4.6506 0.0000 0.0000 0.0000 11.5690" Properties=species:S:1:pos:R:3 pbc="T T T"
Ca 0.0000 0.0000 0.0000
Ca 0.0000 2.3253 5.7845
Ac 2.1175 0.0000 3.1968
Ac 2.1175 2.3253 8.9813
Ga 2.1175 0.0000 6.4728
Ga 2.1175 2.3253 0.6883
Ge 0.0000 0.0000 8.1293
Ge 0.0000 2.3253 2.3448
```

Calculated values
Fermi-level density of states: 4.29 states/eV per cell
calculated density: 5.97 g/cm3
formation energy from the elements: -627 meV/atom
space-group type: No. 38

***

CaAcGaGe after structural relaxation, computed with PBE.

Geometry as extended XYZ:
```
16
Lattice="7.6033 0.0000 0.0000 0.0000 7.6033 0.0000 0.0000 0.0000 7.6033" Properties=species:S:1:pos:R:3 pbc="T T T"
Ca 0.0000 0.0000 0.0000
Ca 0.0000 3.8016 3.8016
Ca 3.8016 0.0000 3.8016
Ca 3.8016 3.8016 0.0000
Ac 0.0000 0.0000 3.8016
Ac 0.0000 3.8016 0.0000
Ac 3.8016 0.0000 0.0000
Ac 3.8016 3.8016 3.8016
Ga 1.9008 1.9008 5.7024
Ga 1.9008 5.7024 1.9008
Ga 5.7024 1.9008 1.9008
Ga 5.7024 5.7024 5.7024
Ge 1.9008 1.9008 1.9008
Ge 1.9008 5.7024 5.7024
Ge 5.7024 1.9008 5.7024
Ge 5.7024 5.7024 1.9008
```

Calculated values
Fermi-level density of states: 7.47 states/eV per cell
calculated density: 6.19 g/cm3
formation energy from the elements: -492 meV/atom
space-group type: No. 216

***

Ca2AcIn2Ga2 after structural relaxation, computed with PBE.

Geometry as extended XYZ:
```
7
Lattice="2.3677 1.3670 10.5507 -2.3677 1.3670 10.5507 0.0000 -2.7339 10.5507" Properties=species:S:1:pos:R:3 pbc="T T T"
Ca 0.0000 0.0000 4.1014
Ca 0.0000 0.0000 27.5506
Ac 0.0000 0.0000 0.0000
In 0.0000 0.0000 7.9496
In 0.0000 0.0000 23.7025
Ga 0.0000 0.0000 12.4499
Ga 0.0000 0.0000 19.2022
```

Calculated values
Fermi-level density of states: 5.19 states/eV per cell
calculated density: 5.48 g/cm3
formation energy from the elements: -393 meV/atom
space-group type: No. 166

***

Ca3Ac3In2Ga after structural relaxation, computed with PBE.

Geometry as extended XYZ:
```
9
Lattice="9.1437 0.0000 0.0000 -4.5719 7.9187 0.0000 0.0000 0.0000 4.4231" Properties=species:S:1:pos:R:3 pbc="T T T"
Ca -1.8718 3.2421 0.0000
Ca 3.7436 0.0000 0.0000
Ca 2.7001 4.6766 0.0000
Ac -3.4272 5.9361 2.2115
Ac 1.1446 1.9826 2.2115
Ac 6.8545 0.0000 2.2115
In 0.0000 5.2791 2.2115
In 4.5719 2.6396 2.2115
Ga 0.0000 0.0000 0.0000
```

Calculated values
Fermi-level density of states: 5.52 states/eV per cell
calculated density: 5.71 g/cm3
formation energy from the elements: -302 meV/atom
space-group type: No. 189

***

CaAcGa2Ir2 after structural relaxation, computed with PBE.

Geometry as extended XYZ:
```
6
Lattice="4.3713 0.0000 0.0000 -2.1857 3.7857 0.0000 0.0000 0.0000 8.1102" Properties=species:S:1:pos:R:3 pbc="T T T"
Ca 0.0000 0.0000 0.0000
Ac 0.0000 0.0000 4.0551
Ga 0.0000 2.5238 6.3118
Ga 2.1857 1.2619 1.7984
Ir 0.0000 2.5238 1.9661
Ir 2.1857 1.2619 6.1441
```

Calculated values
Fermi-level density of states: 3.93 states/eV per cell
calculated density: 9.79 g/cm3
formation energy from the elements: -629 meV/atom
space-group type: No. 164

***

CaAc2Ga3Ir4 after structural relaxation, computed with PBE.

Geometry as extended XYZ:
```
10
Lattice="4.3547 0.0000 0.0000 0.0000 4.3547 0.0000 0.0000 0.0000 11.1695" Properties=species:S:1:pos:R:3 pbc="T T T"
Ca 0.0000 0.0000 0.0000
Ac 0.0000 2.1774 8.1608
Ac 2.1774 0.0000 3.0087
Ga 0.0000 2.1774 4.3200
Ga 2.1774 0.0000 6.8496
Ga 2.1774 2.1774 0.0000
Ir 0.0000 0.0000 5.5848
Ir 0.0000 2.1774 1.7628
Ir 2.1774 0.0000 9.4067
Ir 2.1774 2.1774 5.5848
```

Calculated values
Fermi-level density of states: 3.53 states/eV per cell
calculated density: 11.54 g/cm3
formation energy from the elements: -634 meV/atom
space-group type: No. 115

***

CaAc2Ga4Ir3 after structural relaxation, computed with PBE.

Geometry as extended XYZ:
```
10
Lattice="4.3405 0.0000 0.0000 0.0000 4.3405 0.0000 0.0000 0.0000 11.6139" Properties=species:S:1:pos:R:3 pbc="T T T"
Ca 0.0000 0.0000 0.0000
Ac 0.0000 2.1702 8.4233
Ac 2.1702 0.0000 3.1905
Ga 0.0000 0.0000 5.8069
Ga 0.0000 2.1702 1.8245
Ga 2.1702 0.0000 9.7894
Ga 2.1702 2.1702 5.8069
Ir 0.0000 2.1702 4.3870
Ir 2.1702 0.0000 7.2269
Ir 2.1702 2.1702 0.0000
```

Calculated values
Fermi-level density of states: 9.45 states/eV per cell
calculated density: 10.24 g/cm3
formation energy from the elements: -546 meV/atom
space-group type: No. 115

***

CaAcLaGa after structural relaxation, computed with PBE.

Geometry as extended XYZ:
```
16
Lattice="8.0630 0.0000 0.0000 0.0000 8.0630 0.0000 0.0000 0.0000 8.0630" Properties=species:S:1:pos:R:3 pbc="T T T"
Ca 0.0000 0.0000 0.0000
Ca 0.0000 4.0315 4.0315
Ca 4.0315 0.0000 4.0315
Ca 4.0315 4.0315 0.0000
Ac 2.0157 2.0157 6.0472
Ac 2.0157 6.0472 2.0157
Ac 6.0472 2.0157 2.0157
Ac 6.0472 6.0472 6.0472
La 2.0157 2.0157 2.0157
La 2.0157 6.0472 6.0472
La 6.0472 2.0157 6.0472
La 6.0472 6.0472 2.0157
Ga 0.0000 0.0000 4.0315
Ga 0.0000 4.0315 0.0000
Ga 4.0315 0.0000 0.0000
Ga 4.0315 4.0315 4.0315
```

Calculated values
Fermi-level density of states: 11.95 states/eV per cell
calculated density: 6.03 g/cm3
formation energy from the elements: -110 meV/atom
space-group type: No. 216

***

Li2Ca2AcGa2 after structural relaxation, computed with PBE.

Geometry as extended XYZ:
```
7
Lattice="2.4012 1.3864 9.6553 -2.4012 1.3864 9.6553 0.0000 -2.7727 9.6553" Properties=species:S:1:pos:R:3 pbc="T T T"
Li 0.0000 0.0000 2.6978
Li 0.0000 0.0000 26.2682
Ca 0.0000 0.0000 10.8075
Ca 0.0000 0.0000 18.1585
Ac 0.0000 0.0000 14.4830
Ga 0.0000 0.0000 6.9453
Ga 0.0000 0.0000 22.0207
```

Calculated values
Fermi-level density of states: 6.38 states/eV per cell
calculated density: 3.96 g/cm3
formation energy from the elements: -249 meV/atom
space-group type: No. 166

***

CaAcMgGa after structural relaxation, computed with PBE.

Geometry as extended XYZ:
```
16
Lattice="7.8392 0.0000 0.0000 0.0000 7.8392 0.0000 0.0000 0.0000 7.8392" Properties=species:S:1:pos:R:3 pbc="T T T"
Ca 0.0000 0.0000 0.0000
Ca 0.0000 3.9196 3.9196
Ca 3.9196 0.0000 3.9196
Ca 3.9196 3.9196 0.0000
Ac 0.0000 0.0000 3.9196
Ac 0.0000 3.9196 0.0000
Ac 3.9196 0.0000 0.0000
Ac 3.9196 3.9196 3.9196
Mg 1.9598 1.9598 5.8794
Mg 1.9598 5.8794 1.9598
Mg 5.8794 1.9598 1.9598
Mg 5.8794 5.8794 5.8794
Ga 1.9598 1.9598 1.9598
Ga 1.9598 5.8794 5.8794
Ga 5.8794 1.9598 5.8794
Ga 5.8794 5.8794 1.9598
```

Calculated values
Fermi-level density of states: 7.85 states/eV per cell
calculated density: 4.98 g/cm3
formation energy from the elements: -274 meV/atom
space-group type: No. 216

***

Ca2AcMg2Ga2 after structural relaxation, computed with PBE.

Geometry as extended XYZ:
```
7
Lattice="2.4425 1.4102 9.5703 -2.4425 1.4102 9.5703 0.0000 -2.8203 9.5703" Properties=species:S:1:pos:R:3 pbc="T T T"
Ca 0.0000 0.0000 3.7853
Ca 0.0000 0.0000 24.9256
Ac 0.0000 0.0000 0.0000
Mg 0.0000 0.0000 11.7712
Mg 0.0000 0.0000 16.9397
Ga 0.0000 0.0000 7.3695
Ga 0.0000 0.0000 21.3414
```

Calculated values
Fermi-level density of states: 3.53 states/eV per cell
calculated density: 4.16 g/cm3
formation energy from the elements: -289 meV/atom
space-group type: No. 166

***

> Which of these has the highest calculated density?

CaAc2Ga3Ir4

***

> Look up the formation energy from the elements of the fifth one.

-302 meV/atom

***

> formation energy from the elements of number 6 (CaAcGa2Ir2)?

-629 meV/atom

***

> The highest formation energy from the elements belongs to which entry?

CaAcLaGa